Record 1
# PBE Cs12Rb5Te3, optimized geometry
# Crystal system: cubic
data_Cs12Rb5Te3
_chemical_formula_sum 'Cs96 Rb40 Te24'
_cell_length_a 25.087
_cell_length_b 25.087
_cell_length_c 25.087
_cell_angle_alpha 90.00
_cell_angle_beta 90.00
_cell_angle_gamma 90.00
_symmetry_space_group_name_H-M 'I a -3 d'
_symmetry_Int_Tables_number 230
_symmetry_space_group_name_Hall '-I 4bd 2c 3'
loop_
_atom_site_label
_atom_site_type_symbol
_atom_site_fract_x
_atom_site_fract_y
_atom_site_fract_z
Cs1 Cs 0.017 0.107 0.649
Rb1 Rb 0.000 0.000 0.000
Rb2 Rb 0.000 0.250 0.375
Te1 Te 0.000 0.250 0.125



Record 2
# PBE Cs4Rb3Te4, optimized geometry
# Crystal system: orthorhombic
data_Cs4Rb3Te4
_chemical_formula_sum 'Cs8 Rb6 Te8'
_cell_length_a 5.755
_cell_length_b 10.544
_cell_length_c 20.089
_cell_angle_alpha 90.00
_cell_angle_beta 90.00
_cell_angle_gamma 90.00
_symmetry_space_group_name_H-M 'I m m m'
_symmetry_Int_Tables_number 71
_symmetry_space_group_name_Hall '-I 2 2'
loop_
_atom_site_label
_atom_site_type_symbol
_atom_site_fract_x
_atom_site_fract_y
_atom_site_fract_z
Cs1 Cs 0.000 0.212 0.173
Rb1 Rb 0.000 0.000 0.404
Rb2 Rb 0.000 0.500 0.500
Te1 Te 0.000 0.337 0.000
Te2 Te 0.000 0.500 0.290



Record 3
# PBE Cs6RbTe, optimized geometry
# Crystal system: orthorhombic
data_Cs6RbTe
_chemical_formula_sum 'Cs12 Rb2 Te2'
_cell_length_a 5.595
_cell_length_b 14.897
_cell_length_c 17.460
_cell_angle_alpha 90.00
_cell_angle_beta 90.00
_cell_angle_gamma 90.00
_symmetry_space_group_name_H-M 'A m m 2'
_symmetry_Int_Tables_number 38
_symmetry_space_group_name_Hall 'A 2 -2'
loop_
_atom_site_label
_atom_site_type_symbol
_atom_site_fract_x
_atom_site_fract_y
_atom_site_fract_z
Cs1 Cs 0.000 0.000 0.000
Cs2 Cs 0.000 0.147 0.250
Cs3 Cs 0.500 0.000 0.750
Cs4 Cs 0.500 0.235 0.031
Rb1 Rb 0.000 0.000 0.511
Te1 Te 0.500 0.000 0.145



Record 4
# PBE CsRbTe4, optimized geometry
# Crystal system: cubic
data_CsRbTe4
_chemical_formula_sum 'Cs4 Rb4 Te16'
_cell_length_a 9.619
_cell_length_b 9.619
_cell_length_c 9.619
_cell_angle_alpha 90.00
_cell_angle_beta 90.00
_cell_angle_gamma 90.00
_symmetry_space_group_name_H-M 'F -4 3 m'
_symmetry_Int_Tables_number 216
_symmetry_space_group_name_Hall 'F -4 2 3'
loop_
_atom_site_label
_atom_site_type_symbol
_atom_site_fract_x
_atom_site_fract_y
_atom_site_fract_z
Cs1 Cs 0.000 0.000 0.000
Rb1 Rb 0.250 0.250 0.250
Te1 Te 0.125 0.125 0.625



no.,E (eV/f.u.)
1,-29.26
2,-28.43
3,-11.89
4,-17.18